Record 1
VASP calculation (PBE) on a relaxed structure of AgPd6Au8.

Geometry as extended XYZ:
```
15
Lattice="7.697 0.000 0.000 -3.849 6.666 0.000 0.000 0.000 5.494" Properties=species:S:1:pos:R:3 pbc="T T T"
Ag 0.000 0.000 0.000
Pd -1.126 2.394 4.737
Pd -1.213 6.444 4.737
Pd 1.510 2.172 0.756
Pd 2.338 4.494 4.737
Pd 5.061 0.222 0.756
Pd 4.974 4.272 0.756
Au -1.124 2.203 2.022
Au -1.378 6.538 2.022
Au 1.346 2.075 3.472
Au 0.000 4.444 0.714
Au 3.849 2.222 4.780
Au 2.503 4.591 2.022
Au 5.227 0.128 3.472
Au 4.973 4.463 3.472
```

Values from the calculation:
Calculated density, g/cm3: 13.68
E, eV for the cell shown: -59.05
Fermi-level density of states, states/eV/atom: 0.353
Calculated formation energy, eV per atom: 0.08
Energy above the lowest structure with this stoichiometry, eV/atom: 0.000

Record 2
VASP calculation (PBE) on a relaxed structure of As2Se2I.

Geometry as extended XYZ:
```
5
Lattice="3.687 0.000 0.000 1.820 3.925 0.000 0.006 2.047 10.533" Properties=species:S:1:pos:R:3 pbc="T T T"
As 0.924 1.071 3.054
As 4.589 4.901 7.478
Se 0.929 1.981 8.779
Se 4.584 3.991 1.754
I 2.757 2.986 5.266
```

Values from the calculation:
Calculated density, g/cm3: 4.74
E, eV for the cell shown: -17.90
Fermi-level density of states, states/eV/atom: 0.173
ΔE_f (raw), eV per atom: -0.017
Energy above the lowest structure with this stoichiometry, eV/atom: 0.000

Record 3
VASP calculation (PBE) on a relaxed structure of Tm4CdIn.

Geometry as extended XYZ:
```
6
Lattice="5.082 0.000 0.000 0.000 5.082 0.000 0.000 0.000 7.251" Properties=species:S:1:pos:R:3 pbc="T T T"
Tm 0.000 2.541 1.767
Tm 0.000 2.541 5.485
Tm 2.541 0.000 1.767
Tm 2.541 0.000 5.485
Cd 0.000 0.000 0.000
In 2.541 2.541 3.626
```

Values from the calculation:
Calculated density, g/cm3: 8.01
E, eV for the cell shown: -21.47
Fermi-level density of states, states/eV/atom: 0.970
Calculated formation energy, eV per atom: 0.01
Energy above the lowest structure with this stoichiometry, eV/atom: 0.260

Record 4
VASP calculation (PBE) on a relaxed structure of KLiIr2Os.

Geometry as extended XYZ:
```
5
Lattice="4.813 0.000 0.000 0.000 4.813 0.000 0.000 0.000 4.764" Properties=species:S:1:pos:R:3 pbc="T T T"
K 0.000 0.000 0.000
Li 2.406 2.406 2.382
Ir 0.000 2.406 0.000
Ir 2.406 0.000 0.000
Os 0.000 0.000 2.382
```

Values from the calculation:
Calculated density, g/cm3: 9.34
E, eV for the cell shown: -16.24
Fermi-level density of states, states/eV/atom: 1.024
Calculated formation energy, eV per atom: 3.14

> Look up the calculated density of the fourth one.

9.34 g/cm3

> Among the records above, which one has the highest calculated density?

AgPd6Au8

> Which formula does entry 4 have?

KLiIr2Os